This record from Alexandria via LeMat-Bulk describes a relaxed structure of Sr3AlCo. The functional is GGA-PBE.

Summary:
Theoretical density in g/cm3: 3.3
Energy above the lowest structure with this stoichiometry in meV/atom: 0
Volume in Å³/cell: 178
Electronic total energy in eV/atom: -2.834
Energy of formation in eV/atom: 0.345

abc: 5.6269 5.6269 5.6269
angles: 90.00 90.00 90.00
With the nearest neighbours (Å) after each atom.
Atoms (fractional coordinates):
Sr 0.0000 0.5000 0.0000  2 Co 2.81
Sr 0.0000 0.0000 0.5000  2 Co 2.81
Sr 0.5000 0.0000 0.0000  2 Co 2.81
Co 0.0000 0.0000 0.0000  6 Sr 2.81
Al 0.5000 0.5000 0.5000  12 Sr 3.98